The following is a PBE calculation of a geometry-optimized Sc4CuGeC2 structure, from OQMD.

CIF file:
```
data_Sc4CuGeC2
_space_group_name_H-M_alt 'P -6 m 2'
_space_group_IT_number 187
_space_group_name_Hall 'P -6 2'
_cell_length_a 3.3401
_cell_length_b 3.3401
_cell_length_c 13.5023
_cell_angle_alpha 90.00
_cell_angle_beta 90.00
_cell_angle_gamma 120.00
loop_
_atom_site_label
_atom_site_fract_x
_atom_site_fract_y
_atom_site_fract_z
_atom_site_occupancy
Sc1 0.0000 0.0000 0.1548 1
Sc2 0.3333 0.6667 0.3362 1
Cu1 0.3333 0.6667 0.0000 1
Ge1 0.0000 0.0000 0.5000 1
C1 0.6667 0.3333 0.2422 1
```

Summary:
Total magnetization, μB per cell: 0.01
Total energy, eV for the cell shown: -55.9